[1]
# RbPuAlF6 | the Alexandria database | GGA-PBE | optimized geometry
data_RbPuAlF6
_chemical_formula_sum 'Rb4 Pu4 Al4 F24'
_cell_length_a 7.199
_cell_length_b 7.532
_cell_length_c 10.754
_cell_angle_alpha 90.00
_cell_angle_beta 90.00
_cell_angle_gamma 90.00
_symmetry_space_group_name_H-M 'I m m a'
_symmetry_Int_Tables_number 74
_symmetry_space_group_name_Hall '-I 2b 2'
loop_
_atom_site_label
_atom_site_type_symbol
_atom_site_fract_x
_atom_site_fract_y
_atom_site_fract_z
Rb1 Rb 0.000 0.250 0.152
Pu1 Pu 0.250 0.250 0.750
Al1 Al 0.000 0.000 0.500
F1 F 0.000 0.250 0.520
F2 F 0.000 0.250 0.899
F3 F 0.177 0.018 0.380
# Calculated density = 5.36 g/cm³
# Uncorrected formation energy = -3.25 eV per atom

---

[2]
# Ac2Pm4Ho3 | the Alexandria database | GGA-PBE | optimized geometry
data_Ac2Pm4Ho3
_chemical_formula_sum 'Ac8 Pm16 Ho12'
_cell_length_a 6.337
_cell_length_b 12.454
_cell_length_c 16.487
_cell_angle_alpha 90.00
_cell_angle_beta 90.00
_cell_angle_gamma 90.00
_symmetry_space_group_name_H-M 'F m m m'
_symmetry_Int_Tables_number 69
_symmetry_space_group_name_Hall '-F 2 2'
loop_
_atom_site_label
_atom_site_type_symbol
_atom_site_fract_x
_atom_site_fract_y
_atom_site_fract_z
Ac1 Ac 0.000 0.000 0.116
Pm1 Pm 0.000 0.147 0.314
Ho1 Ho 0.000 0.000 0.500
Ho2 Ho 0.250 0.250 0.000
# Calculated density = 7.80 g/cm³
# ΔE_f = 166 meV/atom

---

[3]
# CdGa2Sn | the Alexandria database | GGA-PBE | optimized geometry
data_CdGa2Sn
_chemical_formula_sum 'Cd3 Ga6 Sn3'
_cell_length_a 4.3039
_cell_length_b 4.3039
_cell_length_c 18.1654
_cell_angle_alpha 90.00
_cell_angle_beta 90.00
_cell_angle_gamma 120.00
_symmetry_space_group_name_H-M 'R 3 m'
_symmetry_Int_Tables_number 160
_symmetry_space_group_name_Hall 'R 3 -2"'
loop_
_atom_site_label
_atom_site_type_symbol
_atom_site_fract_x
_atom_site_fract_y
_atom_site_fract_z
Cd1 Cd 0.0000 0.0000 0.0000
Ga1 Ga 0.0000 0.0000 0.4225
Ga2 Ga 0.0000 0.0000 0.5884
Sn1 Sn 0.0000 0.0000 0.1718
# Calculated density = 6.33 g/cm³
# ΔE_f = 90 meV/atom

---

[4]
# Ba2MgHg6 | the Alexandria database | GGA-PBE | optimized geometry
data_Ba2MgHg6
_chemical_formula_sum 'Ba4 Mg2 Hg12'
_cell_length_a 12.063
_cell_length_b 7.093
_cell_length_c 6.250
_cell_angle_alpha 90.00
_cell_angle_beta 92.21
_cell_angle_gamma 90.00
_symmetry_space_group_name_H-M 'C 1 2/m 1'
_symmetry_Int_Tables_number 12
_symmetry_space_group_name_Hall '-C 2y'
loop_
_atom_site_label
_atom_site_type_symbol
_atom_site_fract_x
_atom_site_fract_y
_atom_site_fract_z
Ba1 Ba 0.173 0.000 0.323
Mg1 Mg 0.000 0.500 0.500
Hg1 Hg 0.086 0.224 0.812
Hg2 Hg 0.166 0.500 0.173
# Calculated density = 9.34 g/cm³
# ΔE_f = -394 meV/atom

---

[5]
# Zn2CoNiSn | the Alexandria database | GGA-PBE | optimized geometry
data_Zn2CoNiSn
_chemical_formula_sum 'Zn2 Co1 Ni1 Sn1'
_cell_length_a 4.514
_cell_length_b 4.514
_cell_length_c 4.480
_cell_angle_alpha 90.00
_cell_angle_beta 90.00
_cell_angle_gamma 90.00
_symmetry_space_group_name_H-M 'P 4/m m m'
_symmetry_Int_Tables_number 123
_symmetry_space_group_name_Hall '-P 4 2'
loop_
_atom_site_label
_atom_site_type_symbol
_atom_site_fract_x
_atom_site_fract_y
_atom_site_fract_z
Zn1 Zn 0.000 0.500 0.000
Co1 Co 0.000 0.000 0.500
Ni1 Ni 0.000 0.000 0.000
Sn1 Sn 0.500 0.500 0.500
# Calculated density = 6.68 g/cm³
# ΔE_f = 454 meV/atom

---

[6]
# TbSm2In2 | the Alexandria database | GGA-PBE | optimized geometry
data_TbSm2In2
_chemical_formula_sum 'Tb2 Sm4 In4'
_cell_length_a 3.794
_cell_length_b 5.401
_cell_length_c 14.244
_cell_angle_alpha 90.00
_cell_angle_beta 97.68
_cell_angle_gamma 90.00
_symmetry_space_group_name_H-M 'P 1 21/m 1'
_symmetry_Int_Tables_number 11
_symmetry_space_group_name_Hall '-P 2yb'
loop_
_atom_site_label
_atom_site_type_symbol
_atom_site_fract_x
_atom_site_fract_y
_atom_site_fract_z
Tb1 Tb 0.147 0.250 0.296
Sm1 Sm 0.047 0.750 0.095
Sm2 Sm 0.237 0.750 0.473
In1 In 0.358 0.250 0.714
In2 In 0.449 0.750 0.897
# Calculated density = 7.91 g/cm³
# ΔE_f = -383 meV/atom

---

[7]
# K2SrBe | the Alexandria database | GGA-PBE | optimized geometry
data_K2SrBe
_chemical_formula_sum 'K4 Sr2 Be2'
_cell_length_a 4.195
_cell_length_b 6.500
_cell_length_c 14.307
_cell_angle_alpha 90.00
_cell_angle_beta 90.00
_cell_angle_gamma 90.00
_symmetry_space_group_name_H-M 'I m m 2'
_symmetry_Int_Tables_number 44
_symmetry_space_group_name_Hall 'I 2 -2'
loop_
_atom_site_label
_atom_site_type_symbol
_atom_site_fract_x
_atom_site_fract_y
_atom_site_fract_z
K1 K 0.000 0.000 0.000
K2 K 0.000 0.500 0.173
Sr1 Sr 0.000 0.500 0.822
Be1 Be 0.000 0.000 0.481
# Calculated density = 1.49 g/cm³
# ΔE_f = 577 meV/atom

---

[8]
# AcDy2Tm6 | the Alexandria database | GGA-PBE | optimized geometry
data_AcDy2Tm6
_chemical_formula_sum 'Ac3 Dy6 Tm18'
_cell_length_a 6.7967
_cell_length_b 6.7967
_cell_length_c 25.2863
_cell_angle_alpha 90.00
_cell_angle_beta 90.00
_cell_angle_gamma 120.00
_symmetry_space_group_name_H-M 'R 3 m'
_symmetry_Int_Tables_number 160
_symmetry_space_group_name_Hall 'R 3 -2"'
loop_
_atom_site_label
_atom_site_type_symbol
_atom_site_fract_x
_atom_site_fract_y
_atom_site_fract_z
Ac1 Ac 0.0000 0.0000 0.0000
Dy1 Dy 0.0000 0.0000 0.2398
Dy2 Dy 0.0000 0.0000 0.4209
Tm1 Tm 0.0028 0.5014 0.2165
Tm2 Tm 0.1706 0.3411 0.7830
# Calculated density = 7.71 g/cm³
# ΔE_f = 399 meV/atom

---

[9]
# Nd2InTe3 | the Alexandria database | GGA-PBE | optimized geometry
data_Nd2InTe3
_chemical_formula_sum 'Nd4 In2 Te6'
_cell_length_a 3.972
_cell_length_b 5.568
_cell_length_c 17.896
_cell_angle_alpha 90.00
_cell_angle_beta 90.00
_cell_angle_gamma 90.00
_symmetry_space_group_name_H-M 'I m m m'
_symmetry_Int_Tables_number 71
_symmetry_space_group_name_Hall '-I 2 2'
loop_
_atom_site_label
_atom_site_type_symbol
_atom_site_fract_x
_atom_site_fract_y
_atom_site_fract_z
Nd1 Nd 0.000 0.000 0.147
In1 In 0.000 0.000 0.500
Te1 Te 0.000 0.000 0.324
Te2 Te 0.000 0.500 0.500
# Calculated density = 6.60 g/cm³
# Uncorrected formation energy = -0.88 eV per atom

---

[10]
# TlGa2Te | the Alexandria database | GGA-PBE | optimized geometry
data_TlGa2Te
_chemical_formula_sum 'Tl1 Ga2 Te1'
_cell_length_a 4.860
_cell_length_b 4.860
_cell_length_c 4.569
_cell_angle_alpha 90.00
_cell_angle_beta 90.00
_cell_angle_gamma 90.00
_symmetry_space_group_name_H-M 'P 4/m m m'
_symmetry_Int_Tables_number 123
_symmetry_space_group_name_Hall '-P 4 2'
loop_
_atom_site_label
_atom_site_type_symbol
_atom_site_fract_x
_atom_site_fract_y
_atom_site_fract_z
Tl1 Tl 0.000 0.000 0.000
Ga1 Ga 0.000 0.500 0.500
Te1 Te 0.500 0.500 0.000
# Calculated density = 7.25 g/cm³
# Uncorrected formation energy = -0.02 eV per atom

---

[11]
# Ho2PaSiC4 | the Alexandria database | GGA-PBE | optimized geometry
data_Ho2PaSiC4
_chemical_formula_sum 'Ho8 Pa4 Si4 C16'
_cell_length_a 3.413
_cell_length_b 11.389
_cell_length_c 11.899
_cell_angle_alpha 90.00
_cell_angle_beta 90.00
_cell_angle_gamma 90.00
_symmetry_space_group_name_H-M 'C m c m'
_symmetry_Int_Tables_number 63
_symmetry_space_group_name_Hall '-C 2c 2'
loop_
_atom_site_label
_atom_site_type_symbol
_atom_site_fract_x
_atom_site_fract_y
_atom_site_fract_z
Ho1 Ho 0.000 0.135 0.049
Pa1 Pa 0.000 0.396 0.250
Si1 Si 0.000 0.337 0.750
C1 C 0.000 0.059 0.250
C2 C 0.000 0.226 0.635
C3 C 0.000 0.500 0.000
# Calculated density = 9.15 g/cm³
# Uncorrected formation energy = -0.10 eV per atom

---

[12]
# AlCrTeN2 | the Alexandria database | GGA-PBE | optimized geometry
data_AlCrTeN2
_chemical_formula_sum 'Al1 Cr1 Te1 N2'
_cell_length_a 3.725
_cell_length_b 3.725
_cell_length_c 5.886
_cell_angle_alpha 90.00
_cell_angle_beta 90.00
_cell_angle_gamma 90.00
_symmetry_space_group_name_H-M 'P 4/m m m'
_symmetry_Int_Tables_number 123
_symmetry_space_group_name_Hall '-P 4 2'
loop_
_atom_site_label
_atom_site_type_symbol
_atom_site_fract_x
_atom_site_fract_y
_atom_site_fract_z
Al1 Al 0.000 0.000 0.000
Cr1 Cr 0.500 0.500 0.500
Te1 Te 0.000 0.000 0.500
N1 N 0.000 0.500 0.000
# Calculated density = 4.77 g/cm³
# Uncorrected formation energy = 1.13 eV per atom

---

[13]
# PrZr3F15 | the Alexandria database | GGA-PBE | optimized geometry
data_PrZr3F15
_chemical_formula_sum 'Pr3 Zr9 F45'
_cell_length_a 12.5137
_cell_length_b 12.5137
_cell_length_c 6.2439
_cell_angle_alpha 90.00
_cell_angle_beta 90.00
_cell_angle_gamma 120.00
_symmetry_space_group_name_H-M 'R 3 m'
_symmetry_Int_Tables_number 160
_symmetry_space_group_name_Hall 'R 3 -2"'
loop_
_atom_site_label
_atom_site_type_symbol
_atom_site_fract_x
_atom_site_fract_y
_atom_site_fract_z
Pr1 Pr 0.0000 0.0000 0.0000
Zr1 Zr 0.0462 0.5231 0.1620
F1 F 0.0745 0.1490 0.2812
F2 F 0.0785 0.1570 0.7342
F3 F 0.0805 0.3754 0.2718
F4 F 0.2201 0.4403 0.6767
# Calculated density = 4.12 g/cm³
# Uncorrected formation energy = -3.77 eV per atom

---

Number 1: uncorrected energy -0.48628 Ry per atom. Number 2: uncorrected energy -0.32221 Ry per atom. Number 3: uncorrected energy -0.19500 Ry per atom. Number 4: uncorrected energy -0.08819 Ry per atom. Number 5: uncorrected energy -0.25237 Ry per atom. Number 6: uncorrected energy -0.31548 Ry per atom. Number 7: uncorrected energy -0.09727 Ry per atom. Number 8: uncorrected energy -0.29852 Ry per atom. Number 9: uncorrected energy -0.33018 Ry per atom. Number 10: uncorrected energy -0.21420 Ry per atom. Number 11: uncorrected energy -0.56718 Ry per atom. Number 12: uncorrected energy -0.40437 Ry per atom. Number 13: uncorrected energy -0.50351 Ry per atom.